No. 1
Here is a relaxed Zn2P2Os crystal from the Alexandria database. Energies are from PBE.

## Properties
- M_tot: 0.00 μB per cell
- E_tot: -0.35843 Ry/atom
- Energy relative to the elements: 0.04 eV/atom
- ρ: 8.32 Mg/m³

Lattice parameters (Å, degrees): 5.9228 5.9228 4.3590 90.00 90.00 90.00
Closest atoms and distances in Å follow each position.
Space group P4/mbm (No. 127)
Asymmetric unit:
Zn (0.1825, 0.3175, 0.0000) [4 per cell]  6 P 2.68-2.88
P (0.1312, 0.6312, 0.5000) [4 per cell]  1 P 2.20, 2 Os 2.32
Os (0.0000, 0.0000, 0.5000) [2 per cell]  4 P 2.32


No. 2
Here is a relaxed AcNi2Ge3 crystal from the Alexandria database. Energies are from PBE.

## Properties
- M_tot: 0.00 μB per cell
- E_tot: -0.39819 Ry/atom
- Energy relative to the elements: -0.50 eV/atom
- ρ: 8.25 Mg/m³

Lattice parameters (Å, degrees): 4.2547 4.2547 24.9996 90.00 90.00 90.00
Closest atoms and distances in Å follow each position.
Space group I4/mmm (No. 139)
Asymmetric unit:
Ac (0.0000, 0.0000, 0.1521) [4 per cell]  8 Ni 3.24-3.31, 8 Ge 3.25-3.32
Ni (0.0000, 0.0000, 0.4031) [4 per cell]  5 Ge 2.43-2.60
Ni (0.0000, 0.5000, 0.2500) [4 per cell]  4 Ge 2.46
Ge (0.0000, 0.0000, 0.2992) [4 per cell]  5 Ni 2.46-2.60
Ge (0.0000, 0.5000, 0.0501) [8 per cell]  2 Ni 2.43, 1 Ge 2.50


No. 3
Here is a relaxed Tb2Sm3In2 crystal from the Alexandria database. Energies are from PBE.

## Properties
- M_tot: 0.00 μB per cell
- E_tot: -0.31283 Ry/atom
- Energy relative to the elements: -0.13 eV/atom
- ΔE to the lowest computed polymorph: 0.0354 eV per atom
- ρ: 7.86 Mg/m³

Lattice parameters (Å, degrees): 16.9244 3.5160 8.0253 90.00 117.90 90.00
Closest atoms and distances in Å follow each position.
Space group C2/m (No. 12)
Asymmetric unit:
Tb (0.1312, 0.0000, 0.4715) [4 per cell]  4 In 3.30-3.44, 4 Sm 3.37-3.58, 2 Tb 3.52
Sm (0.0000, 0.0000, 0.0000) [2 per cell]  4 Sm 3.21-3.52, 4 In 3.34, 2 Tb 3.37
Sm (0.2103, 0.0000, 0.1285) [4 per cell]  5 Sm 3.21-3.52, 3 In 3.40-3.43, 3 Tb 3.54-3.58
In (0.0667, 0.5000, 0.7349) [4 per cell]  4 Tb 3.30-3.44, 5 Sm 3.34-3.43, 3 In 3.37-3.52